Entry 1:
Re2Ni2Os after structural relaxation, computed with GGA-PBE.

Calculated values
- mass density (g cm⁻³) = 17.1
- space group = P4/mbm (127)
- calculated volume (Å³ per atom) = 13.21
- formation enthalpy at 0 K (eV/atom) = 0.2555

Cell: 6.7825 6.7825 2.8709 Å, 90.00 90.00 90.00°
Last column: nearest neighbours and their distance in Å.
Positions (direct):
Re (0.1749, 0.3251, 0.0000)  6 Ni 2.42-2.50
Re (0.3251, 0.8251, 0.0000)  6 Ni 2.42-2.50
Re (0.6749, 0.1749, 0.0000)  6 Ni 2.42-2.50
Re (0.8251, 0.6749, 0.0000)  6 Ni 2.42-2.50
Ni (0.1225, 0.6225, 0.5000)  1 Ni 2.35, 6 Re 2.42-2.50
Ni (0.3775, 0.1225, 0.5000)  1 Ni 2.35, 6 Re 2.42-2.50
Ni (0.6225, 0.8775, 0.5000)  1 Ni 2.35, 6 Re 2.42-2.50
Ni (0.8775, 0.3775, 0.5000)  1 Ni 2.35, 6 Re 2.42-2.50
Os (0.0000, 0.0000, 0.5000)  4 Ni 2.69, 2 Os 2.87, 8 Re 2.89
Os (0.5000, 0.5000, 0.5000)  4 Ni 2.69, 2 Os 2.87, 8 Re 2.89

---

Entry 2:
Ti2CoH after structural relaxation, computed with GGA-PBE.

Calculated values
- mass density (g cm⁻³) = 5.4
- space group = I-42d (122)
- calculated volume (Å³ per atom) = 11.88
- raw total energy (eV per atom) = -6.73

Cell: 4.9907 4.9907 4.9907 Å, 112.36 112.36 103.84°
Last column: nearest neighbours and their distance in Å.
Positions (direct):
Ti (0.0589, 0.6250, 0.9339)  2 H 1.89
Ti (0.3750, 0.3089, 0.4339)  2 H 1.89
Ti (0.6911, 0.1250, 0.0661)  2 H 1.89
Ti (0.8750, 0.9411, 0.5661)  2 H 1.89
Co (0.2500, 0.7500, 0.5000)  4 Ti 2.37
Co (0.5000, 0.5000, 0.0000)  4 Ti 2.37
H (0.0000, 0.0000, 0.0000)  4 Ti 1.89
H (0.7500, 0.2500, 0.5000)  4 Ti 1.89

---

Entry 3:
Zr2Tl after structural relaxation, computed with GGA-PBE.

Calculated values
- mass density (g cm⁻³) = 8.6
- space group = Imma (74)
- calculated volume (Å³ per atom) = 24.98
- formation enthalpy at 0 K (eV/atom) = 0.2824

Cell: 10.4148 10.4148 10.4148 Å, 162.53 153.76 31.70°
Last column: nearest neighbours and their distance in Å.
Positions (direct):
Zr (0.2940, 0.0440, 0.2500)  5 Zr 2.87-3.16, 4 Tl 3.14
Zr (0.4373, 0.1873, 0.2500)  5 Zr 2.87-3.16
Zr (0.5627, 0.8127, 0.7500)  5 Zr 2.87-3.16
Zr (0.7060, 0.9560, 0.7500)  5 Zr 2.87-3.16, 4 Tl 3.14
Tl (0.1396, 0.3896, 0.7500)  10 Zr 3.14-3.47, 2 Tl 3.16
Tl (0.8604, 0.6104, 0.2500)  10 Zr 3.14-3.47, 2 Tl 3.16

---

Entry 4:
V2Ni3Pt after structural relaxation, computed with GGA-PBE.

Calculated values
- mass density (g cm⁻³) = 10.4
- space group = Pnma (62)
- calculated volume (Å³ per atom) = 12.58
- formation enthalpy at 0 K (eV/atom) = -0.2374

Cell: 8.0316 2.6089 14.4080 Å, 90.00 90.00 90.00°
Last column: nearest neighbours and their distance in Å.
Positions (direct):
V (0.0248, 0.2500, 0.2345)  2 V 2.61, 7 Ni 2.61-2.82, 4 Pt 2.69-2.72
V (0.2447, 0.2500, 0.0081)  7 Ni 2.36-2.53, 2 V 2.61, 2 Pt 2.63
V (0.2553, 0.7500, 0.5081)  7 Ni 2.36-2.53, 2 V 2.61, 2 Pt 2.63
V (0.4752, 0.7500, 0.7345)  2 V 2.61, 7 Ni 2.61-2.82, 4 Pt 2.69-2.72
V (0.5248, 0.2500, 0.2655)  2 V 2.61, 7 Ni 2.61-2.82, 4 Pt 2.69-2.72
V (0.7447, 0.2500, 0.4919)  7 Ni 2.36-2.53, 2 V 2.61, 2 Pt 2.63
V (0.7553, 0.7500, 0.9919)  7 Ni 2.36-2.53, 2 V 2.61, 2 Pt 2.63
V (0.9752, 0.7500, 0.7655)  2 V 2.61, 7 Ni 2.61-2.82, 4 Pt 2.69-2.72
Ni (0.0060, 0.7500, 0.0777)  5 V 2.36-2.61, 5 Ni 2.45-2.61, 1 Pt 2.63
Ni (0.0349, 0.2500, 0.4258)  6 Ni 2.47-2.61, 4 V 2.50-2.76, 2 Pt 2.67
Ni (0.2419, 0.7500, 0.3373)  5 Ni 2.45-2.61, 3 V 2.46-2.63, 1 Pt 2.52
Ni (0.2581, 0.2500, 0.8373)  5 Ni 2.45-2.61, 3 V 2.46-2.63, 1 Pt 2.52
Ni (0.4651, 0.7500, 0.9258)  6 Ni 2.47-2.61, 4 V 2.50-2.76, 2 Pt 2.67
Ni (0.4940, 0.2500, 0.5777)  5 V 2.36-2.61, 5 Ni 2.45-2.61, 1 Pt 2.63
Ni (0.5060, 0.7500, 0.4223)  5 V 2.36-2.61, 5 Ni 2.45-2.61, 1 Pt 2.63
Ni (0.5349, 0.2500, 0.0742)  6 Ni 2.47-2.61, 4 V 2.50-2.76, 2 Pt 2.67
Ni (0.7419, 0.7500, 0.1627)  5 Ni 2.45-2.61, 3 V 2.46-2.63, 1 Pt 2.52
Ni (0.7581, 0.2500, 0.6627)  5 Ni 2.45-2.61, 3 V 2.46-2.63, 1 Pt 2.52
Ni (0.9651, 0.7500, 0.5742)  6 Ni 2.47-2.61, 4 V 2.50-2.76, 2 Pt 2.67
Ni (0.9940, 0.2500, 0.9223)  5 V 2.36-2.61, 5 Ni 2.45-2.61, 1 Pt 2.63
Pt (0.2061, 0.2500, 0.6645)  4 Ni 2.52-2.67, 2 Pt 2.61, 6 V 2.63-2.72
Pt (0.2939, 0.7500, 0.1645)  4 Ni 2.52-2.67, 2 Pt 2.61, 6 V 2.63-2.72
Pt (0.7061, 0.2500, 0.8355)  4 Ni 2.52-2.67, 2 Pt 2.61, 6 V 2.63-2.72
Pt (0.7939, 0.7500, 0.3355)  4 Ni 2.52-2.67, 2 Pt 2.61, 6 V 2.63-2.72

---

Entry 5:
LiDyThRe after structural relaxation, computed with GGA-PBE.

Calculated values
- mass density (g cm⁻³) = 11.0
- space group = F-43m (216)
- calculated volume (Å³ per atom) = 22.19
- formation enthalpy at 0 K (eV/atom) = 0.0009

Cell: 5.0073 5.0073 5.0073 Å, 60.00 60.00 60.00°
Last column: nearest neighbours and their distance in Å.
Positions (direct):
Li (0.0000, 0.0000, 0.0000)  4 Th 3.07, 4 Dy 3.07
Dy (0.2500, 0.2500, 0.2500)  4 Re 3.07, 4 Li 3.07
Th (0.7500, 0.7500, 0.7500)  4 Re 3.07, 4 Li 3.07
Re (0.5000, 0.5000, 0.5000)  4 Th 3.07, 4 Dy 3.07

---

Entry 6:
LiNi2Br after structural relaxation, computed with GGA-PBE.

Calculated values
- mass density (g cm⁻³) = 6.3
- space group = Fm-3m (225)
- calculated volume (Å³ per atom) = 13.40
- formation energy from raw total energies (meV per atom) = 398.1

Cell: 4.2317 4.2317 4.2317 Å, 60.00 60.00 60.00°
Last column: nearest neighbours and their distance in Å.
Positions (direct):
Li (0.0000, 0.0000, 0.0000)  8 Ni 2.59
Ni (0.2500, 0.2500, 0.2500)  4 Br 2.59, 4 Li 2.59
Ni (0.7500, 0.7500, 0.7500)  4 Br 2.59, 4 Li 2.59
Br (0.5000, 0.5000, 0.5000)  8 Ni 2.59

---

Q: Which formula does entry 6 have?
A: LiNi2Br

---

Q: The highest calculated volume belongs to which entry?
A: Zr2Tl

---

Please write out number 2 again, unchanged.
Ti2CoH after structural relaxation, computed with GGA-PBE.

Calculated values
- mass density (g cm⁻³) = 5.4
- space group = I-42d (122)
- calculated volume (Å³ per atom) = 11.88
- raw total energy (eV per atom) = -6.73

Cell: 4.9907 4.9907 4.9907 Å, 112.36 112.36 103.84°
Last column: nearest neighbours and their distance in Å.
Positions (direct):
Ti (0.0589, 0.6250, 0.9339)  2 H 1.89
Ti (0.3750, 0.3089, 0.4339)  2 H 1.89
Ti (0.6911, 0.1250, 0.0661)  2 H 1.89
Ti (0.8750, 0.9411, 0.5661)  2 H 1.89
Co (0.2500, 0.7500, 0.5000)  4 Ti 2.37
Co (0.5000, 0.5000, 0.0000)  4 Ti 2.37
H (0.0000, 0.0000, 0.0000)  4 Ti 1.89
H (0.7500, 0.2500, 0.5000)  4 Ti 1.89

---

Q: Look up the calculated volume of the third one.
A: 24.98 Å³ per atom